(1)
Density functional theory data (PBE) for an optimized crystal structure of P2Ir.

```
P2Ir
1.0
4.169 0.000 0.000
-2.084 3.610 0.000
0.000 0.000 5.828
P Ir
4 2
Direct
0.333 0.667 0.060 P
0.333 0.667 0.440 P
0.667 0.333 0.560 P
0.667 0.333 0.940 P
0.000 0.000 0.250 Ir
0.000 0.000 0.750 Ir
```

Computed properties:
- space-group type = P6_3/mmc
- spin magnetization (μB per cell) = 0.0
- formation energy from the elements (eV/f.u.) = 1.7


(2)
Density functional theory data (PBE) for an optimized crystal structure of PIr.

```
PIr
1.0
-1.435 1.435 3.721
1.435 -1.435 3.721
1.435 1.435 -3.721
P Ir
1 1
Direct
0.000 0.000 0.000 P
0.674 0.674 0.000 Ir
```

Computed properties:
- space-group type = I4mm
- spin magnetization (μB per cell) = 0.0
- formation energy from the elements (eV/f.u.) = -0.6


(3)
Density functional theory data (PBE) for an optimized crystal structure of P5Ir3.

```
P5Ir3
1.0
7.549 0.000 0.000
-3.775 6.538 0.000
0.000 0.000 4.818
P Ir
10 6
Direct
0.000 0.277 0.250 P
0.000 0.723 0.750 P
0.277 0.000 0.250 P
0.277 0.277 0.750 P
0.333 0.667 0.000 P
0.333 0.667 0.500 P
0.667 0.333 0.000 P
0.667 0.333 0.500 P
0.723 0.000 0.750 P
0.723 0.723 0.250 P
0.000 0.369 0.750 Ir
0.000 0.631 0.250 Ir
0.369 0.000 0.750 Ir
0.369 0.369 0.250 Ir
0.631 0.000 0.250 Ir
0.631 0.631 0.750 Ir
```

Computed properties:
- space-group type = P6_3/mcm
- spin magnetization (μB per cell) = 0.0
- formation energy from the elements (eV/f.u.) = 0.9


(4)
Density functional theory data (PBE) for an optimized crystal structure of PIr.

```
PIr
1.0
1.540 0.889 7.260
-1.540 0.889 7.260
0.000 -1.779 7.260
P Ir
2 2
Direct
0.122 0.122 0.122 P
0.878 0.878 0.878 P
0.388 0.388 0.388 Ir
0.612 0.612 0.612 Ir
```

Computed properties:
- space-group type = R-3m
- spin magnetization (μB per cell) = 0.0
- formation energy from the elements (eV/f.u.) = -0.2


(5)
Density functional theory data (PBE) for an optimized crystal structure of P2Ir.

```
P2Ir
1.0
6.583 0.000 0.000
-3.291 5.701 0.000
0.000 0.000 3.522
P Ir
6 3
Direct
0.000 0.271 0.000 P
0.000 0.599 0.500 P
0.271 0.000 0.000 P
0.401 0.401 0.500 P
0.599 0.000 0.500 P
0.729 0.729 0.000 P
0.000 0.000 0.500 Ir
0.333 0.667 0.000 Ir
0.667 0.333 0.000 Ir
```

Computed properties:
- space-group type = P-62m
- spin magnetization (μB per cell) = 0.0
- formation energy from the elements (eV/f.u.) = 0.2


(6)
Density functional theory data (PBE) for an optimized crystal structure of P2Ir.

```
P2Ir
1.0
3.213 -1.828 0.000
3.213 1.828 0.000
-2.170 0.000 4.368
P Ir
2 1
Direct
0.084 0.084 0.249 P
0.916 0.916 0.751 P
0.500 0.500 0.500 Ir
```

Computed properties:
- space-group type = C2/m
- spin magnetization (μB per cell) = 0.0
- formation energy from the elements (eV/f.u.) = -1.2


(7)
Density functional theory data (PBE) for an optimized crystal structure of PaP2Ir4.

```
PaP2Ir4
1.0
7.603 0.000 0.000
0.000 7.603 0.000
0.000 0.000 3.815
Pa P Ir
2 4 8
Direct
0.000 0.000 0.000 Pa
0.500 0.500 0.500 Pa
0.230 0.230 0.500 P
0.270 0.730 0.000 P
0.730 0.270 0.000 P
0.770 0.770 0.500 P
0.066 0.682 0.500 Ir
0.182 0.434 0.000 Ir
0.318 0.934 0.500 Ir
0.434 0.182 0.000 Ir
0.566 0.818 0.000 Ir
0.682 0.066 0.500 Ir
0.818 0.566 0.000 Ir
0.934 0.318 0.500 Ir
```

Computed properties:
- space-group type = P4_2/mnm
- spin magnetization (μB per cell) = 0.0
- formation energy from the elements (eV/f.u.) = -4.4


(8)
Density functional theory data (PBE) for an optimized crystal structure of Pa2PIr.

```
Pa2PIr
1.0
5.772 0.000 0.000
0.000 3.932 0.000
-2.717 0.000 7.441
Pa P Ir
4 2 2
Direct
0.205 0.250 0.418 Pa
0.288 0.750 0.069 Pa
0.712 0.250 0.931 Pa
0.795 0.750 0.582 Pa
0.376 0.750 0.701 P
0.624 0.250 0.299 P
0.123 0.250 0.794 Ir
0.877 0.750 0.206 Ir
```

Computed properties:
- space-group type = P2_1/m
- spin magnetization (μB per cell) = 0.0
- formation energy from the elements (eV/f.u.) = -3.8
- energy above the most stable polymorph in this dataset (eV per atom) = 0.000


(9)
Density functional theory data (PBE) for an optimized crystal structure of Pa2PIr3.

```
Pa2PIr3
1.0
0.000 4.558 6.978
3.674 0.000 6.978
3.674 4.558 0.000
Pa P Ir
4 2 6
Direct
0.247 0.753 0.753 Pa
0.250 0.250 0.250 Pa
0.750 0.750 0.750 Pa
0.753 0.247 0.247 Pa
0.322 0.322 0.678 P
0.678 0.678 0.322 P
0.152 0.152 0.848 Ir
0.181 0.629 0.371 Ir
0.371 0.819 0.181 Ir
0.629 0.181 0.819 Ir
0.819 0.371 0.629 Ir
0.848 0.848 0.152 Ir
```

Computed properties:
- space-group type = Fmmm
- spin magnetization (μB per cell) = 0.0
- formation energy from the elements (eV/f.u.) = -5.1


(10)
Density functional theory data (PBE) for an optimized crystal structure of PaPIr2.

```
PaPIr2
1.0
2.032 1.173 4.990
-2.032 1.173 4.990
0.000 -2.346 4.990
Pa P Ir
1 1 2
Direct
0.000 0.000 0.000 Pa
0.500 0.500 0.500 P
0.218 0.218 0.218 Ir
0.782 0.782 0.782 Ir
```

Computed properties:
- space-group type = R-3m
- spin magnetization (μB per cell) = 0.0
- formation energy from the elements (eV/f.u.) = -2.8
- energy above the most stable polymorph in this dataset (eV per atom) = 0.000


(11)
Density functional theory data (PBE) for an optimized crystal structure of PaPIr2.

```
PaPIr2
1.0
2.741 -3.469 0.000
2.741 3.469 0.000
0.000 0.000 3.853
Pa P Ir
1 1 2
Direct
0.000 0.000 0.000 Pa
0.500 0.500 0.000 P
0.291 0.709 0.500 Ir
0.709 0.291 0.500 Ir
```

Computed properties:
- space-group type = Cmmm
- spin magnetization (μB per cell) = 0.0
- formation energy from the elements (eV/f.u.) = -2.4
- energy above the most stable polymorph in this dataset (eV per atom) = 0.100


(12)
Density functional theory data (PBE) for an optimized crystal structure of Pa2P3Ir2.

```
Pa2P3Ir2
1.0
1.984 -9.111 0.000
1.984 9.111 0.000
0.000 0.000 6.981
Pa P Ir
4 6 4
Direct
0.069 0.931 0.750 Pa
0.144 0.856 0.250 Pa
0.856 0.144 0.750 Pa
0.931 0.069 0.250 Pa
0.227 0.773 0.750 P
0.430 0.570 0.528 P
0.430 0.570 0.972 P
0.570 0.430 0.028 P
0.570 0.430 0.472 P
0.773 0.227 0.250 P
0.302 0.698 0.044 Ir
0.302 0.698 0.456 Ir
0.698 0.302 0.544 Ir
0.698 0.302 0.956 Ir
```

Computed properties:
- space-group type = Cmcm
- spin magnetization (μB per cell) = 0.0
- formation energy from the elements (eV/f.u.) = -6.4


Number 1: density of states at the Fermi level 3.8 states/eV/cell. Number 2: density of states at the Fermi level 0.4 states/eV/cell. Number 3: density of states at the Fermi level 8.4 states/eV/cell. Number 4: density of states at the Fermi level 2.1 states/eV/cell. Number 5: density of states at the Fermi level 6.8 states/eV/cell. Number 6: density of states at the Fermi level 2.1 states/eV/cell. Number 7: density of states at the Fermi level 8.5 states/eV/cell. Number 8: density of states at the Fermi level 11.4 states/eV/cell. Number 9: density of states at the Fermi level 11.4 states/eV/cell. Number 10: density of states at the Fermi level 3.1 states/eV/cell. Number 11: density of states at the Fermi level 3.3 states/eV/cell. Number 12: density of states at the Fermi level 9.9 states/eV/cell.